*w*
Tm2PbS | PBE | optimized geometry

- space-group type = C2/m, No. 12
- spin magnetization (μB per atom) = 0.000

a b c (Å): 3.7974 3.7974 8.1044
angles (deg): 89.64 103.87 120.12
With the nearest neighbours (Å) after each atom.
Sites, in units of the cell vectors:
Tm 0.5335 0.2691 0.8026  3 S 2.68
Tm 0.4666 0.7309 0.1974  3 S 2.68
Pb 0.0000 0.5000 0.5000  6 Tm 3.20-3.23
S 0.0000 0.0000 0.0000  6 Tm 2.68

=====

*x*
Tm2PbS | PBE | optimized geometry

- space-group type = P-3m1, No. 164
- spin magnetization (μB per atom) = 0.000

a b c (Å): 3.7298 3.7298 8.1471
angles (deg): 90.00 90.00 60.00
With the nearest neighbours (Å) after each atom.
Sites, in units of the cell vectors:
Tm 0.6667 0.6667 0.1940  3 S 2.67
Tm 0.3333 0.3333 0.8060  3 S 2.67
Pb 0.0000 0.0000 0.5000  6 Tm 3.29
S 0.0000 0.0000 0.0000  6 Tm 2.67

=====

*y*
Tm2PbS | PBE | optimized geometry

- space-group type = R3m, No. 160
- spin magnetization (μB per atom) = 0.000

a b c (Å): 3.7300 3.7300 8.3544
angles (deg): 77.10 77.10 60.00
With the nearest neighbours (Å) after each atom.
Sites, in units of the cell vectors:
Tm 0.0650 0.0650 0.8050  3 S 2.66
Tm 0.2683 0.2683 0.1950  3 S 2.68
Pb 0.4993 0.4993 0.5021  6 Tm 3.26-3.28
S 0.6674 0.6674 0.9979  6 Tm 2.66-2.68

=====

Most stable of them? *y*.

=====

*w*
Tm2PbS4 | PBE | optimized geometry

- space-group type = Cmcm, No. 63
- spin magnetization (μB per atom) = 0.000

a b c (Å): 3.9230 6.7465 13.4415
angles (deg): 90.00 90.00 106.90
With the nearest neighbours (Å) after each atom.
Sites, in units of the cell vectors:
Tm 0.1359 0.2719 0.4332  6 S 2.67-2.78
Tm 0.8641 0.7281 0.9332  6 S 2.67-2.78
Tm 0.1359 0.2719 0.0668  6 S 2.67-2.78
Tm 0.8641 0.7281 0.5668  6 S 2.67-2.78
Pb 0.6042 0.2085 0.7500  6 S 2.83-3.16
Pb 0.3958 0.7915 0.2500  6 S 2.83-3.16
S 0.7678 0.5356 0.1120  3 Tm 2.67-2.71
S 0.7678 0.5356 0.3880  3 Tm 2.67-2.71
S 0.2322 0.4644 0.8880  3 Tm 2.67-2.71
S 0.2322 0.4644 0.6120  3 Tm 2.67-2.71
S 0.9467 0.8933 0.7500  2 Tm 2.68, 2 Pb 2.83
S 0.0533 0.1067 0.2500  2 Tm 2.68, 2 Pb 2.83
S 0.5000 0.0000 0.0000  4 Tm 2.78
S 0.5000 0.0000 0.5000  4 Tm 2.78

=====

*x*
Tm2PbS4 | PBE | optimized geometry

- space-group type = Pnma, No. 62
- spin magnetization (μB per atom) = 0.000

a b c (Å): 3.9387 11.9949 14.3001
angles (deg): 90.00 90.00 90.00
With the nearest neighbours (Å) after each atom.
Sites, in units of the cell vectors:
Tm 0.2500 0.4401 0.3904  6 S 2.68-2.76
Tm 0.2500 0.9401 0.1096  6 S 2.68-2.76
Tm 0.7500 0.5599 0.6096  6 S 2.68-2.76
Tm 0.7500 0.0599 0.8904  6 S 2.68-2.76
Tm 0.2500 0.4165 0.8999  6 S 2.66-2.73
Tm 0.2500 0.9165 0.6001  6 S 2.66-2.73
Tm 0.7500 0.5835 0.1001  6 S 2.66-2.73
Tm 0.7500 0.0835 0.3999  6 S 2.66-2.73
Pb 0.2500 0.7733 0.3358  7 S 3.03-3.23
Pb 0.2500 0.2733 0.1642  7 S 3.03-3.23
Pb 0.7500 0.2267 0.6642  7 S 3.03-3.23
Pb 0.7500 0.7267 0.8358  7 S 3.03-3.23
S 0.2500 0.2051 0.8316  3 Tm 2.72-2.76
S 0.2500 0.7051 0.6684  3 Tm 2.72-2.76
S 0.7500 0.7949 0.1684  3 Tm 2.72-2.76
S 0.7500 0.2949 0.3316  3 Tm 2.72-2.76
S 0.2500 0.1260 0.5273  3 Tm 2.72-2.73, 2 Pb 3.03
S 0.2500 0.6260 0.9727  3 Tm 2.72-2.73, 2 Pb 3.03
S 0.7500 0.8740 0.4727  3 Tm 2.72-2.73, 2 Pb 3.03
S 0.7500 0.3740 0.0273  3 Tm 2.72-2.73, 2 Pb 3.03
S 0.2500 0.0199 0.2870  3 Tm 2.66-2.71
S 0.2500 0.5199 0.2130  3 Tm 2.66-2.71
S 0.7500 0.9801 0.7130  3 Tm 2.66-2.71
S 0.7500 0.4801 0.7870  3 Tm 2.66-2.71
S 0.2500 0.4120 0.5761  3 Tm 2.68-2.69
S 0.2500 0.9120 0.9239  3 Tm 2.68-2.69
S 0.7500 0.5880 0.4239  3 Tm 2.68-2.69
S 0.7500 0.0880 0.0761  3 Tm 2.68-2.69

=====

Most stable of them? *x*.